DFT (PBE) results for a geometry-optimized Tb3ZrAs4 structure.

The space group is Cmmm (No. 65) and the conventional cell measures 8.1381, 11.4719 and 4.0589 Å, with angles of 90.00, 90.00 and 90.00 degrees. The distinct sites, in fractional coordinates, are Tb at (0.0000, 0.0000, 0.0000), Tb at (0.2500, 0.2500, 0.5000), Zr at (0.0000, 0.5000, 0.0000), As at (0.0000, 0.2558, 0.0000) and As at (0.2394, 0.5000, 0.5000).

The calculation puts the magnetic moment at 0.0 Bohr magnetons per cell. For the formation energy, the calculation gives -1.4338 eV per atom.